Nd2SbBr | GGA-PBE | optimized geometry

Cell lengths 4.340, 4.340, 8.155 Å; angles 74.57, 74.57, 60.00 degrees
Positions (direct):
Br 0.499 0.499 0.504
Nd 0.258 0.258 0.227
Sb 0.668 0.668 0.997
Nd 0.076 0.076 0.773

Output
Energy relative to the elements, uncorrected in eV/atom: -1.15
Total magnetic moment in μB/cell: 0.0
Space group: R3m
E above lowest polymorph in kJ/mol of formula units: 0
Electronic total energy in eV/atom: -4.9792
Mass density in g/cm3: 6.4

Nd6Sb2Se3Br | GGA-PBE | optimized geometry

Cell lengths 4.349, 8.733, 9.779 Å; angles 103.48, 102.85, 90.00 degrees
Positions (direct):
Sb 0.836 0.672 0.672
Br 0.500 0.000 0.000
Se 0.164 0.834 0.327
Sb 0.164 0.328 0.328
Se 0.836 0.166 0.673
Nd 0.665 0.592 0.329
Nd 0.003 0.723 0.007
Nd 0.678 0.079 0.356
Se 0.500 0.500 0.000
Nd 0.335 0.408 0.671
Nd 0.322 0.921 0.644
Nd 0.997 0.277 0.993

Output
Energy relative to the elements, uncorrected in eV/atom: -1.52
Total magnetic moment in μB/cell: 0.0
Space group: C2/m
Electronic total energy in eV/atom: -5.5998
Mass density in g/cm3: 6.7

Nd3SbSeBr | GGA-PBE | optimized geometry

Cell lengths 4.346, 8.275, 10.973 Å; angles 114.97, 90.00, 90.00 degrees
Positions (direct):
Sb 0.250 0.263 0.255
Nd 0.250 0.517 0.831
Nd 0.250 0.691 0.510
Sb 0.750 0.737 0.745
Nd 0.750 0.930 0.110
Br 0.250 0.153 0.604
Br 0.750 0.847 0.396
Se 0.250 0.701 0.120
Nd 0.750 0.309 0.490
Se 0.750 0.299 0.880
Nd 0.750 0.483 0.169
Nd 0.250 0.070 0.890

Output
Energy relative to the elements, uncorrected in eV/atom: -1.36
Total magnetic moment in μB/cell: 0.0
Space group: P2_1/m
Electronic total energy in eV/atom: -5.2870
Mass density in g/cm3: 6.6

Nd6Si2SbBr3 | GGA-PBE | optimized geometry

Cell lengths 4.346, 8.838, 9.854 Å; angles 103.67, 102.74, 90.00 degrees
Positions (direct):
Sb 0.500 0.000 0.000
Si 0.831 0.659 0.661
Nd 0.982 0.744 0.965
Br 0.165 0.837 0.329
Si 0.169 0.341 0.339
Nd 0.325 0.433 0.650
Nd 0.018 0.256 0.035
Nd 0.669 0.126 0.338
Nd 0.331 0.874 0.662
Br 0.835 0.163 0.671
Nd 0.675 0.567 0.350
Br 0.500 0.500 0.000

Output
Energy relative to the elements, uncorrected in eV/atom: -1.13
Total magnetic moment in μB/cell: 0.0
Space group: C2/m
Electronic total energy in eV/atom: -5.1775
Mass density in g/cm3: 5.9

Nd3SbTeBr | GGA-PBE | optimized geometry

Cell lengths 4.333, 9.276, 10.405 Å; angles 92.41, 90.00, 90.00 degrees
Positions (direct):
Br 0.750 0.869 0.426
Te 0.750 0.871 0.825
Te 0.250 0.129 0.175
Br 0.250 0.131 0.574
Nd 0.750 0.877 0.136
Nd 0.250 0.650 0.439
Nd 0.750 0.350 0.561
Nd 0.750 0.386 0.159
Nd 0.250 0.123 0.864
Sb 0.750 0.369 0.859
Sb 0.250 0.631 0.141
Nd 0.250 0.614 0.841

Output
Energy relative to the elements, uncorrected in eV/atom: -1.17
Total magnetic moment in μB/cell: 1.3
Space group: P2_1/m
Electronic total energy in eV/atom: -5.0442
Mass density in g/cm3: 6.1

Nd2ScBr | GGA-PBE | optimized geometry

Cell lengths 3.544, 3.544, 9.373 Å; angles 90.00, 90.00, 90.00 degrees
Positions (direct):
Br 0.500 0.500 0.500
Nd 0.000 0.000 0.743
Sc 0.500 0.500 0.000
Nd 0.000 0.000 0.257

Output
Energy relative to the elements, uncorrected in eV/atom: -0.45
Total magnetic moment in μB/cell: 0.0
Space group: P4/mmm
E above lowest polymorph in kJ/mol of formula units: 0
Electronic total energy in eV/atom: -4.8334
Mass density in g/cm3: 5.8

Nd2ScBr | GGA-PBE | optimized geometry

Cell lengths 3.481, 3.481, 11.509 Å; angles 81.30, 81.30, 60.00 degrees
Positions (direct):
Sc 0.000 0.000 0.000
Nd 0.095 0.095 0.716
Nd 0.905 0.905 0.284
Br 0.500 0.500 0.500

Output
Energy relative to the elements, uncorrected in eV/atom: -0.27
Total magnetic moment in μB/cell: 0.0
Space group: R-3m
E above lowest polymorph in kJ/mol of formula units: 67
Electronic total energy in eV/atom: -4.6590
Mass density in g/cm3: 5.8

NdSc2Br | GGA-PBE | optimized geometry

Cell lengths 3.381, 3.381, 10.923 Å; angles 81.10, 81.10, 60.00 degrees
Positions (direct):
Sc 0.099 0.099 0.702
Br 0.500 0.500 0.500
Sc 0.901 0.901 0.298
Nd 0.000 0.000 0.000

Output
Energy relative to the elements, uncorrected in eV/atom: -0.14
Total magnetic moment in μB/cell: 0.4
Space group: R-3m
Electronic total energy in eV/atom: -4.9197
Mass density in g/cm3: 4.9

Nd2SeBr | GGA-PBE | optimized geometry

Cell lengths 3.900, 3.900, 8.669 Å; angles 77.00, 77.00, 60.00 degrees
Positions (direct):
Nd 0.089 0.089 0.733
Se 0.500 0.500 0.499
Nd 0.245 0.245 0.266
Br 0.666 0.666 0.002

Output
Energy relative to the elements, uncorrected in eV/atom: -1.42
Total magnetic moment in μB/cell: 0.0
Space group: R3m
E above lowest polymorph in kJ/mol of formula units: 15
Electronic total energy in eV/atom: -5.0928
Mass density in g/cm3: 6.7

Nd3Se3Br | GGA-PBE | optimized geometry

Cell lengths 8.943, 8.943, 7.856 Å; angles 55.31, 55.31, 60.00 degrees
Positions (direct):
Br 0.329 0.329 0.014
Br 0.671 0.671 0.986
Se 0.789 0.090 0.737
Se 0.910 0.616 0.263
Nd 0.563 0.917 0.240
Nd 0.720 0.437 0.760
Se 0.616 0.211 0.263
Nd 0.083 0.720 0.760
Nd 0.917 0.280 0.240
Se 0.211 0.910 0.263
Nd 0.280 0.563 0.240
Se 0.090 0.384 0.737
Se 0.384 0.789 0.737
Nd 0.437 0.083 0.760

Output
Energy relative to the elements, uncorrected in eV/atom: -1.75
Total magnetic moment in μB/cell: 0.0
Space group: R-3
Electronic total energy in eV/atom: -5.5279
Mass density in g/cm3: 6.1

Nd2Se2Br | GGA-PBE | optimized geometry

Cell lengths 4.948, 8.428, 7.291 Å; angles 89.95, 90.00, 72.91 degrees
Positions (direct):
Nd 0.841 0.319 0.000
Se 0.680 0.640 0.250
Br 0.002 0.000 0.250
Nd 0.159 0.681 0.500
Br 0.998 0.000 0.750
Nd 0.159 0.681 0.000
Se 0.320 0.360 0.250
Nd 0.841 0.319 0.500
Se 0.680 0.640 0.750
Se 0.320 0.360 0.750

Output
Energy relative to the elements, uncorrected in eV/atom: -1.68
Total magnetic moment in μB/cell: 0.0
Space group: C2/c
E above lowest polymorph in kJ/mol of formula units: 72
Electronic total energy in eV/atom: -5.3181
Mass density in g/cm3: 6.0

Nd7SeBr12 | GGA-PBE | optimized geometry

Cell lengths 9.419, 9.419, 9.419 Å; angles 107.98, 107.98, 107.98 degrees
Positions (direct):
Br 0.076 0.688 0.225
Nd 0.040 0.327 0.116
Nd 0.884 0.960 0.673
Nd 0.500 0.500 0.500
Br 0.158 0.393 0.477
Br 0.477 0.158 0.393
Br 0.393 0.477 0.158
Nd 0.960 0.673 0.884
Nd 0.116 0.040 0.327
Nd 0.327 0.116 0.040
Br 0.842 0.607 0.523
Br 0.688 0.225 0.076
Nd 0.673 0.884 0.960
Br 0.924 0.312 0.775
Se 0.000 0.000 0.000
Br 0.312 0.775 0.924
Br 0.607 0.523 0.842
Br 0.225 0.076 0.688
Br 0.523 0.842 0.607
Br 0.775 0.924 0.312

Output
Energy relative to the elements, uncorrected in eV/atom: -1.72
Total magnetic moment in μB/cell: 0.0
Space group: R-3
Electronic total energy in eV/atom: -4.5688
Mass density in g/cm3: 5.0